(1)
# Y2BHRh6

A geometry-optimized Y2BHRh6 structure (PBE-GGA, Alexandria).

```
Y2BHRh6
1.0
4.129 -4.151 0.000
4.129 4.151 0.000
-4.119 0.000 4.150
Y B H Rh
2 1 1 6
Cartesian
4.129 2.082 0.000 Y
4.129 -2.082 0.000 Y
-2.059 0.000 2.075 B
2.069 0.000 2.075 H
2.069 0.000 0.041 Rh
2.069 2.036 2.075 Rh
0.050 0.000 2.079 Rh
4.089 0.000 2.071 Rh
2.069 -2.036 2.075 Rh
2.070 0.000 4.109 Rh
```

---

(2)
# Zr2BHRh6

A geometry-optimized Zr2BHRh6 structure (PBE-GGA, Alexandria).

```
Zr2BHRh6
1.0
-2.880 2.880 4.066
2.880 -2.880 4.066
2.880 2.880 -4.066
Zr B H Rh
2 1 1 6
Cartesian
2.880 0.000 2.033 Zr
0.000 2.880 2.033 Zr
0.000 0.000 0.000 B
0.000 0.000 4.066 H
0.000 0.000 2.074 Rh
1.468 1.468 0.000 Rh
1.412 -1.412 4.066 Rh
-1.412 1.412 4.066 Rh
0.000 0.000 6.058 Rh
1.412 1.412 4.066 Rh
```

---

(3)
# BHRu3

A geometry-optimized BHRu3 structure (PBE-GGA, Alexandria).

```
BHRu3
1.0
3.768 0.000 0.000
0.000 3.768 0.000
0.000 0.000 3.768
B H Ru
1 1 3
Cartesian
0.000 0.000 0.000 B
1.884 1.884 1.884 H
0.000 1.884 1.884 Ru
1.884 0.000 1.884 Ru
1.884 1.884 0.000 Ru
```

Output
Its polymorph energy (0 for the lowest one) is 0 meV/atom.

---

(4)
# BH2Ru

A geometry-optimized BH2Ru structure (PBE-GGA, Alexandria).

```
BH2Ru
1.0
-1.486 1.486 7.193
1.486 -1.486 7.193
1.486 1.486 -7.193
B H Ru
2 4 2
Cartesian
1.486 0.743 1.798 B
0.000 0.743 5.394 B
0.000 0.000 0.000 H
0.743 0.743 -3.596 H
0.743 -0.743 3.596 H
0.000 1.486 0.000 H
1.486 -0.743 5.394 Ru
0.000 2.229 1.798 Ru
```

Output
Its polymorph energy (0 for the lowest one) is 0 meV/atom.

---

(5)
# BH2Ru

A geometry-optimized BH2Ru structure (PBE-GGA, Alexandria).

```
BH2Ru
1.0
0.000 2.351 2.351
2.351 0.000 2.351
2.351 2.351 0.000
B H Ru
1 2 1
Cartesian
0.000 0.000 0.000 B
1.176 1.176 1.176 H
3.527 3.527 3.527 H
2.351 2.351 2.351 Ru
```

Output
Its polymorph energy (0 for the lowest one) is 394 meV/atom.

---

(6)
# SnBH2Ru

A geometry-optimized SnBH2Ru structure (PBE-GGA, Alexandria).

```
SnBH2Ru
1.0
3.333 0.000 0.000
0.000 3.333 0.000
0.000 0.000 5.461
Sn B H Ru
1 1 2 1
Cartesian
0.000 0.000 0.000 Sn
0.000 0.000 2.730 B
0.000 1.667 0.000 H
1.667 0.000 0.000 H
1.667 1.667 2.730 Ru
```

---

(7)
# TbBHRu

A geometry-optimized TbBHRu structure (PBE-GGA, Alexandria).

```
TbBHRu
1.0
3.938 0.000 0.000
0.000 3.938 0.000
0.000 0.000 7.199
Tb B H Ru
2 2 2 2
Cartesian
0.984 0.984 1.315 Tb
2.953 2.953 5.885 Tb
0.984 0.984 4.394 B
2.953 2.953 2.805 B
0.984 2.953 0.000 H
2.953 0.984 0.000 H
0.984 2.953 3.600 Ru
2.953 0.984 3.600 Ru
```

---

(8)
# TcBHRu2

A geometry-optimized TcBHRu2 structure (PBE-GGA, Alexandria).

```
TcBHRu2
1.0
4.384 0.000 0.000
0.000 4.384 0.000
0.000 0.000 2.887
Tc B H Ru
1 1 1 2
Cartesian
0.000 0.000 0.000 Tc
2.192 2.192 1.443 B
2.192 2.192 0.000 H
0.000 2.192 1.443 Ru
2.192 0.000 1.443 Ru
```

---

(9)
# Tc2BHRu

A geometry-optimized Tc2BHRu structure (PBE-GGA, Alexandria).

```
Tc2BHRu
1.0
4.736 0.000 0.000
0.000 4.736 0.000
0.000 0.000 3.968
Tc B H Ru
2 1 1 1
Cartesian
0.000 2.368 0.000 Tc
2.368 0.000 0.000 Tc
0.000 0.000 1.984 B
2.368 2.368 1.984 H
0.000 0.000 0.000 Ru
```

---

(10)
# B10H14S

A geometry-optimized B10H14S structure (PBE-GGA, Alexandria).

```
B10H14S
1.0
7.299 0.000 0.000
0.000 10.747 0.000
0.000 0.000 12.976
B H S
40 56 4
Cartesian
0.070 1.014 1.977 B
0.292 4.672 4.901 B
0.306 5.289 3.230 B
0.827 10.630 9.276 B
0.924 0.158 0.671 B
0.929 1.534 8.629 B
1.032 0.209 7.525 B
1.163 0.913 3.406 B
1.381 9.243 0.977 B
1.818 9.566 8.302 B
1.831 1.181 1.814 B
2.269 1.503 7.465 B
2.487 9.834 9.894 B
2.618 10.538 1.037 B
2.721 9.213 2.141 B
2.726 10.589 7.159 B
2.823 0.117 2.788 B
3.344 5.457 9.718 B
3.358 6.075 11.389 B
3.579 9.733 8.465 B
3.720 4.359 10.999 B
3.942 0.702 8.075 B
3.956 0.084 9.746 B
4.476 5.490 3.700 B
4.579 3.840 4.347 B
4.573 5.215 12.305 B
4.682 5.165 5.451 B
4.812 4.461 9.570 B
5.030 6.877 11.999 B
5.468 6.554 4.674 B
5.481 4.193 11.162 B
5.919 3.870 5.511 B
6.137 6.286 3.082 B
6.267 5.582 11.939 B
6.375 5.531 5.817 B
6.370 6.907 10.836 B
6.473 5.257 10.188 B
6.993 10.663 3.258 B
7.007 10.045 1.587 B
7.229 6.387 4.511 B
0.113 2.392 8.743 H
0.171 4.892 9.651 H
0.179 0.045 6.706 H
0.197 4.050 3.731 H
0.280 8.446 5.759 H
0.607 0.410 12.522 H
0.807 10.530 3.998 H
1.132 1.029 9.861 H
1.225 5.279 2.474 H
1.235 1.710 4.289 H
1.290 8.381 0.160 H
1.304 4.272 5.384 H
1.374 8.470 8.129 H
1.515 8.613 2.133 H
2.135 2.134 8.621 H
2.276 2.276 1.641 H
2.345 6.475 11.872 H
2.360 2.366 6.648 H
2.414 9.037 10.777 H
2.425 5.467 8.962 H
2.517 9.718 3.373 H
2.842 0.217 10.486 H
3.043 10.337 6.034 H
3.369 2.300 12.247 H
3.453 6.696 10.219 H
3.470 10.702 0.218 H
3.478 5.855 3.163 H
3.536 8.355 2.255 H
3.763 2.982 4.233 H
3.821 0.482 3.325 H
3.829 5.329 6.270 H
3.847 1.323 9.245 H
3.930 7.674 7.217 H
4.257 4.963 0.454 H
4.457 5.590 8.978 H
4.782 4.344 3.115 H
4.875 0.094 10.503 H
4.885 3.663 8.688 H
4.940 7.739 12.817 H
4.954 1.101 7.592 H
5.023 7.650 4.847 H
5.164 7.508 10.843 H
5.785 3.239 4.355 H
5.926 3.097 11.335 H
5.995 9.645 1.104 H
6.009 3.008 6.328 H
6.064 7.084 2.200 H
6.074 10.653 4.015 H
6.167 6.402 9.604 H
6.492 5.156 2.490 H
6.692 5.784 6.942 H
7.019 3.073 0.729 H
7.102 9.424 2.757 H
7.120 5.418 12.758 H
7.128 10.265 9.813 H
7.186 7.765 10.721 H
1.108 7.793 4.915 S
2.542 2.953 11.403 S
4.757 8.327 8.061 S
6.192 2.420 1.573 S
```

Output
Its polymorph energy (0 for the lowest one) is 5 meV/atom.

---

(11)
# BH2S3

A geometry-optimized BH2S3 structure (PBE-GGA, Alexandria).

```
BH2S3
1.0
3.962 -2.818 0.000
3.962 2.818 0.000
0.000 0.000 10.099
B H S
2 4 6
Cartesian
3.962 1.626 5.050 B
3.962 -1.626 0.000 B
2.919 0.387 9.241 H
2.919 -0.387 4.191 H
5.004 0.387 9.241 H
5.004 -0.387 4.191 H
1.596 0.767 0.656 S
1.596 -0.767 5.705 S
3.962 0.373 3.580 S
3.962 -0.373 8.630 S
6.327 0.767 0.656 S
6.327 -0.767 5.705 S
```

---

(12)
# BHS3

A geometry-optimized BHS3 structure (PBE-GGA, Alexandria).

```
BHS3
1.0
4.164 0.000 0.000
0.000 4.164 0.000
0.000 0.000 4.164
B H S
1 1 3
Cartesian
0.000 0.000 0.000 B
2.082 2.082 2.082 H
0.000 0.000 2.082 S
0.000 2.082 0.000 S
2.082 0.000 0.000 S
```

Output
Its polymorph energy (0 for the lowest one) is 1439 meV/atom.

---

| no. | calculated total energy (Ry per atom) |
| --- | --- |
| 1 | -0.5433 |
| 2 | -0.5786 |
| 3 | -0.5105 |
| 4 | -0.3827 |
| 5 | -0.3537 |
| 6 | -0.3188 |
| 7 | -0.4799 |
| 8 | -0.5259 |
| 9 | -0.4349 |
| 10 | -0.3554 |
| 11 | -0.3172 |
| 12 | -0.2366 |